VASP calculation (PBE) on a geometry-optimized PaSeOF structure.

Its formation energy without anion corrections is -269.2 kJ per mole of atoms. As for the volume: 17.0 Å³/atom. As for the total energy: -7.74 eV/atom.

The structure belongs to space group R3m (No. 160, hexagonal axes); the cell edges are 3.8702, 3.8702 and 15.7683 Å and the angles 90.00°, 90.00° and 120.00°. The inequivalent atoms are Pa at (0.0000, 0.0000, 0.0000), Se at (0.0000, 0.0000, 0.7923), O at (0.0000, 0.0000, 0.3231) and F at (0.0000, 0.0000, 0.5979).